Computed, not measured: a geometry-optimized CaCSe3 structure at the PBE-GGA level of DFT.

a b c (Å): 4.5707 4.5707 4.5707
angles (deg): 90.00 90.00 90.00
Fractional coordinates of all 5 atoms:
Se 0.0000 0.0000 0.5000
Ca 0.5000 0.5000 0.5000
C 0.0000 0.0000 0.0000
Se 0.5000 0.0000 0.0000
Se 0.0000 0.5000 0.0000

volume = 95.5 Å³/cell
E_form (uncorrected) = 220 meV per atom
space-group type = Pm-3m (221)
excess energy over the best structure of this formula in the dataset = 0 meV/atom
D(E_F) = 0.597 states/eV/atom